The following is a DFT calculation (PBEsol) of an optimized crystal structure of Rb2CeO3.

a b c (Å): 6.3216 6.3216 6.8441
angles (deg): 99.08 99.08 119.82
Last column: nearest neighbours and their distance in Å.
Element x y z (fractional)
O (0.9632, 0.5656, 0.1876)  2 Ce 2.28-2.29
O (0.0368, 0.4344, 0.8124)  2 Ce 2.28-2.29
O (0.1675, 0.1675, 0.1841)  2 Ce 2.28
O (0.5656, 0.9632, 0.1876)  2 Ce 2.28-2.29
O (0.4344, 0.0368, 0.8124)  2 Ce 2.28-2.29
O (0.8325, 0.8325, 0.8159)  2 Ce 2.28
Rb (0.0000, 0.0000, 0.5000)  2 O 2.69
Rb (0.3442, 0.6558, 0.5000)  4 O 2.71-3.03
Rb (0.5000, 0.5000, 0.0000)  6 O 2.78-2.80
Rb (0.6558, 0.3442, 0.5000)  4 O 2.71-3.03
Ce (0.8329, 0.1671, 0.0000)  6 O 2.28-2.29
Ce (0.1671, 0.8329, 0.0000)  6 O 2.28-2.29

Computed properties:
Its density of states at the Fermi level is 0.0 states/eV/cell. For the formation energy without anion corrections, the calculation gives -2.374 eV per atom. The space group is C2/m, No. 12. As for the total magnetic moment: 0.0 μB/cell.

The following is a DFT calculation (PBEsol) of an optimized crystal structure of BaY2Au.

a b c (Å): 3.6488 5.7660 6.8864
angles (deg): 114.75 105.36 90.00
Last column: nearest neighbours and their distance in Å.
Element x y z (fractional)
Y (0.1965, 0.1965, 0.3929)  2 Au 2.98
Y (0.8035, 0.8035, 0.6071)  2 Au 2.98
Ba (0.0000, 0.5000, 0.0000)  4 Au 3.41, 2 Ba 3.65, 4 Y 3.72
Au (0.5000, 0.0000, 0.0000)  4 Y 2.98

Computed properties:
For the formation enthalpy at 0 K, the calculation gives -0.2780 eV/atom. Its density of states at the Fermi level is 4.3 states/eV/cell. The space group is Immm, No. 71. As for the total magnetic moment: 0.0 μB/cell.

The following is a DFT calculation (PBEsol) of an optimized crystal structure of MgSbCl2.

a b c (Å): 3.3606 5.0935 7.2137
angles (deg): 110.67 103.47 90.00
Last column: nearest neighbours and their distance in Å.
Element x y z (fractional)
Cl (0.8301, 0.3301, 0.6601)  2 Mg 2.37
Cl (0.0709, 0.0709, 0.1417)  2 Sb 2.71
Sb (0.1416, 0.6416, 0.2831)  2 Cl 2.71, 2 Mg 2.93
Mg (0.4575, 0.4575, 0.9150)  2 Cl 2.37

Computed properties:
Its density of states at the Fermi level is 1.0 states/eV/cell. For the formation energy without anion corrections, the calculation gives -0.787 eV per atom. The space group is Imm2, No. 44. As for the total magnetic moment: 0.0 μB/cell.

The following is a DFT calculation (PBEsol) of an optimized crystal structure of Tm3In4Co2.

a b c (Å): 3.5083 7.7108 7.7108
angles (deg): 120.00 90.00 90.00
Last column: nearest neighbours and their distance in Å.
Element x y z (fractional)
In (0.0000, 0.2569, 0.0034)  3 Co 2.64-2.94, 1 In 2.90
In (0.0000, 0.7465, 0.7431)  3 Co 2.64-2.94, 1 In 2.90
In (0.0000, 0.9966, 0.2535)  3 Co 2.64-2.94, 1 In 2.90
In (0.0000, 0.6667, 0.3333)  3 In 2.90, 6 Tm 3.16
Tm (0.5000, 0.3776, 0.4207)  2 Co 2.73
Tm (0.5000, 0.0430, 0.6224)  2 Co 2.73
Tm (0.5000, 0.5793, 0.9570)  2 Co 2.73
Co (0.0000, 0.3333, 0.6667)  6 Tm 2.73, 3 In 2.94
Co (0.5000, 0.0000, 0.0000)  6 In 2.64

Computed properties:
For the formation enthalpy at 0 K, the calculation gives -0.4277 eV/atom. Its density of states at the Fermi level is 6.9 states/eV/cell. The space group is P-6, No. 174. As for the total magnetic moment: 0.5 μB/cell.

The following is a DFT calculation (PBEsol) of an optimized crystal structure of LiSb2Rh.

a b c (Å): 3.3663 4.3896 5.9085
angles (deg): 101.46 90.00 112.55
Last column: nearest neighbours and their distance in Å.
Element x y z (fractional)
Rh (0.5000, 0.0000, 0.0000)  6 Sb 2.68-2.73
Li (0.0000, 0.0000, 0.5000)  6 Sb 2.79-2.92
Sb (0.7623, 0.5247, 0.7781)  3 Rh 2.68-2.73, 3 Li 2.79-2.92
Sb (0.2377, 0.4753, 0.2219)  3 Rh 2.68-2.73, 3 Li 2.79-2.92

Computed properties:
Its density of states at the Fermi level is 1.9 states/eV/cell. For the formation energy without anion corrections, the calculation gives -0.352 eV per atom. The space group is C2/m, No. 12. As for the total magnetic moment: 0.0 μB/cell.

The following is a DFT calculation (PBEsol) of an optimized crystal structure of Sr4Ni3O9.

a b c (Å): 7.7613 9.3648 9.3648
angles (deg): 120.00 90.00 90.00
Last column: nearest neighbours and their distance in Å.
Element x y z (fractional)
O (0.4378, 0.8176, 0.4914)  1 Ni 1.83
O (0.9557, 0.4988, 0.8170)  1 Ni 1.85
O (0.8023, 0.0108, 0.1636)  1 Ni 1.86
O (0.5000, 0.0000, 0.8484)  2 Ni 1.88
O (0.5622, 0.4914, 0.8176)  1 Ni 1.83
O (0.7415, 0.5183, 0.1720)  2 Ni 1.91
O (0.7415, 0.6538, 0.4817)  2 Ni 1.91
O (0.5000, 0.1516, 0.1516)  2 Ni 1.88
O (0.9557, 0.1830, 0.6818)  1 Ni 1.85
O (0.2585, 0.3462, 0.8280)  2 Ni 1.91
O (0.0443, 0.5012, 0.3182)  1 Ni 1.85
O (0.8023, 0.8364, 0.8472)  1 Ni 1.86
O (0.9557, 0.3182, 0.5012)  1 Ni 1.85
O (0.5622, 0.3262, 0.5086)  1 Ni 1.83
O (0.5622, 0.1824, 0.6738)  1 Ni 1.83
O (0.1977, 0.8472, 0.8364)  1 Ni 1.86
O (0.1977, 0.9892, 0.1528)  1 Ni 1.86
O (0.5000, 0.8484, 0.0000)  2 Ni 1.88
O (0.0443, 0.8170, 0.4988)  1 Ni 1.85
O (0.2585, 0.4817, 0.6538)  2 Ni 1.91
O (0.4378, 0.6738, 0.1824)  1 Ni 1.83
O (0.8023, 0.1528, 0.9892)  1 Ni 1.86
O (0.1977, 0.1636, 0.0108)  1 Ni 1.86
O (0.2585, 0.1720, 0.5183)  2 Ni 1.91
O (0.4378, 0.5086, 0.3262)  1 Ni 1.83
O (0.7415, 0.8280, 0.3462)  2 Ni 1.91
O (0.0443, 0.6818, 0.1830)  1 Ni 1.85
Sr (0.5000, 0.0000, 0.3346)  8 O 2.51-2.80
Sr (0.2477, 0.3076, 0.3305)  7 O 2.41-2.63
Sr (0.0000, 0.6402, 0.6402)  8 O 2.43-2.64
Sr (0.7523, 0.6924, 0.0230)  7 O 2.41-2.63
Sr (0.2477, 0.0230, 0.6924)  7 O 2.41-2.63
Sr (0.7523, 0.3305, 0.3076)  7 O 2.41-2.63
Sr (0.7523, 0.9770, 0.6695)  7 O 2.41-2.63
Sr (0.2477, 0.6695, 0.9770)  7 O 2.41-2.63
Sr (0.0000, 0.0000, 0.3598)  8 O 2.43-2.64
Sr (0.5000, 0.6654, 0.6654)  8 O 2.51-2.80
Sr (0.5000, 0.3346, 0.0000)  8 O 2.51-2.80
Sr (0.0000, 0.3598, 0.0000)  8 O 2.43-2.64
Ni (0.3412, 0.0000, 0.0000)  6 O 1.86-1.88
Ni (0.0988, 0.3333, 0.6667)  6 O 1.85-1.91
Ni (0.9012, 0.6667, 0.3333)  6 O 1.85-1.91
Ni (0.6588, 0.0000, 0.0000)  6 O 1.86-1.88
Ni (0.5818, 0.6667, 0.3333)  6 O 1.83-1.91
Ni (0.7556, 0.3333, 0.6667)  6 O 2.09-2.15
Ni (0.0000, 0.0000, 0.0000)  6 O 2.13
Ni (0.4182, 0.3333, 0.6667)  6 O 1.83-1.91
Ni (0.2444, 0.6667, 0.3333)  6 O 2.09-2.15

Computed properties:
Its density of states at the Fermi level is 15.6 states/eV/cell. For the formation energy without anion corrections, the calculation gives -1.876 eV per atom. The space group is P321, No. 150. As for the total magnetic moment: 5.8 μB/cell.

The following is a DFT calculation (PBEsol) of an optimized crystal structure of YCr2Mo.

a b c (Å): 3.1146 4.4954 4.4954
angles (deg): 90.00 90.00 90.00
Last column: nearest neighbours and their distance in Å.
Element x y z (fractional)
Cr (0.0000, 0.5000, 0.0000)  4 Mo 2.73, 4 Y 2.73
Cr (0.0000, 0.0000, 0.5000)  4 Mo 2.73, 4 Y 2.73
Mo (0.5000, 0.5000, 0.5000)  8 Cr 2.73
Y (0.5000, 0.0000, 0.0000)  8 Cr 2.73

Computed properties:
For the formation enthalpy at 0 K, the calculation gives 0.6072 eV/atom. Its density of states at the Fermi level is 3.4 states/eV/cell. The space group is P4/mmm, No. 123. As for the total magnetic moment: 2.5 μB/cell.

The following is a DFT calculation (PBEsol) of an optimized crystal structure of DyLu3.

a b c (Å): 5.4026 6.9524 6.9524
angles (deg): 120.00 90.00 90.00
Last column: nearest neighbours and their distance in Å.
Element x y z (fractional)
Lu (0.2500, 0.1660, 0.8340)  8 Lu 3.36-3.49, 4 Dy 3.37-3.48
Lu (0.2500, 0.1660, 0.3320)  8 Lu 3.36-3.49, 4 Dy 3.37-3.48
Lu (0.7500, 0.8340, 0.1660)  8 Lu 3.36-3.49, 4 Dy 3.37-3.48
Lu (0.7500, 0.8340, 0.6680)  8 Lu 3.36-3.49, 4 Dy 3.37-3.48
Lu (0.7500, 0.3320, 0.1660)  8 Lu 3.36-3.49, 4 Dy 3.37-3.48
Lu (0.2500, 0.6680, 0.8340)  8 Lu 3.36-3.49, 4 Dy 3.37-3.48
Dy (0.7500, 0.3333, 0.6667)  12 Lu 3.37-3.48
Dy (0.2500, 0.6667, 0.3333)  12 Lu 3.37-3.48

Computed properties:
For the formation enthalpy at 0 K, the calculation gives 0.0025 eV/atom. Its density of states at the Fermi level is 12.8 states/eV/cell. The space group is P6_3/mmc, No. 194. As for the total magnetic moment: 0.0 μB/cell.

The following is a DFT calculation (PBEsol) of an optimized crystal structure of MgZnFe2N.

a b c (Å): 3.6611 4.6064 4.6064
angles (deg): 90.00 90.00 90.00
Last column: nearest neighbours and their distance in Å.
Element x y z (fractional)
Zn (0.5000, 0.5000, 0.5000)  8 Fe 2.94, 4 N 3.26
Mg (0.0000, 0.0000, 0.0000)  2 N 1.83
Fe (0.0000, 0.5000, 0.0000)  2 Mg 2.30
Fe (0.0000, 0.0000, 0.5000)  2 Mg 2.30
N (0.5000, 0.0000, 0.0000)  2 Mg 1.83

Computed properties:
Its density of states at the Fermi level is 6.5 states/eV/cell. For the formation energy without anion corrections, the calculation gives 1.609 eV per atom. The space group is P4/mmm, No. 123. As for the total magnetic moment: 5.8 μB/cell.

The following is a DFT calculation (PBEsol) of an optimized crystal structure of K2SrBe.

a b c (Å): 4.7508 5.0755 7.6334
angles (deg): 108.48 107.14 92.85
Last column: nearest neighbours and their distance in Å.
Element x y z (fractional)
K (0.5000, 0.5000, 0.5000)  4 K 3.39-3.56
K (0.0000, 0.0000, 0.5000)  4 K 3.39-3.56
Be (0.0000, 0.5000, 0.0000)  4 Sr 3.39-3.56
Sr (0.5000, 0.0000, 0.0000)  4 Be 3.39-3.56

Computed properties:
For the formation enthalpy at 0 K, the calculation gives 0.7010 eV/atom. Its density of states at the Fermi level is 3.3 states/eV/cell. The space group is C2/m, No. 12. As for the total magnetic moment: 0.0 μB/cell.

The following is a DFT calculation (PBEsol) of an optimized crystal structure of LiSi2As.

a b c (Å): 3.4114 3.4114 5.6228
angles (deg): 90.00 90.00 90.00
Last column: nearest neighbours and their distance in Å.
Element x y z (fractional)
As (0.0000, 0.0000, 0.4754)  1 Si 2.43
Si (0.5000, 0.5000, 0.2350)  4 Si 2.64, 2 Li 2.75-2.88, 4 As 2.77
Si (0.0000, 0.0000, 0.0430)  1 As 2.43, 4 Si 2.64
Li (0.5000, 0.5000, 0.7466)  6 Si 2.75-2.93, 4 As 2.85

Computed properties:
Its density of states at the Fermi level is 1.4 states/eV/cell. For the formation energy without anion corrections, the calculation gives 0.075 eV per atom. The space group is P4mm, No. 99. As for the total magnetic moment: 0.0 μB/cell.

The following is a DFT calculation (PBEsol) of an optimized crystal structure of YMgMo2.

a b c (Å): 3.9822 3.9822 5.4825
angles (deg): 111.30 111.30 90.00
Last column: nearest neighbours and their distance in Å.
Element x y z (fractional)
Mo (0.2500, 0.7500, 0.5000)  4 Mo 2.82, 4 Mg 3.08, 4 Y 3.08
Mo (0.7500, 0.2500, 0.5000)  4 Mo 2.82, 4 Mg 3.08, 4 Y 3.08
Y (0.5000, 0.5000, 0.0000)  4 Mg 2.82, 8 Mo 3.08
Mg (0.0000, 0.0000, 0.0000)  4 Y 2.82, 8 Mo 3.08

Computed properties:
For the formation enthalpy at 0 K, the calculation gives 0.5423 eV/atom. Its density of states at the Fermi level is 3.5 states/eV/cell. The space group is I4/mmm, No. 139. As for the total magnetic moment: 0.0 μB/cell.